Entry 1:
The following is a PBE calculation of crystalline CeAl4CuPd2 at its relaxed geometry, from Alexandria via LeMat-Bulk.

abc: 9.2071 9.2071 9.2071
angles: 26.79 26.79 26.79
Positions (direct):
Ce1 0.0000 0.0000 0.0000
Al1 0.1322 0.1322 0.1322
Al2 0.4048 0.4048 0.4048
Al3 0.5952 0.5952 0.5952
Al4 0.8678 0.8678 0.8678
Cu1 0.5000 0.5000 0.5000
Pd1 0.2348 0.2348 0.2348
Pd2 0.7652 0.7652 0.7652

## Properties
* ΔH_f (0 K): -587.4 meV per atom
* calculated total energy: -5.0106 eV per atom
* theoretical density: 6.23 Mg/m³
* density of states at the Fermi level: 7.383 states/eV/f.u.


Entry 2:
The following is a PBE calculation of crystalline CeAl4Cu2Pd at its relaxed geometry, from Alexandria via LeMat-Bulk.

abc: 9.2373 9.2373 9.2373
angles: 26.39 26.39 26.39
Positions (direct):
Ce1 0.0000 0.0000 0.0000
Al1 0.1290 0.1290 0.1290
Al2 0.4042 0.4042 0.4042
Al3 0.5958 0.5958 0.5958
Al4 0.8710 0.8710 0.8710
Cu1 0.2401 0.2401 0.2401
Cu2 0.7599 0.7599 0.7599
Pd1 0.5000 0.5000 0.5000

## Properties
* ΔH_f (0 K): -423.3 meV per atom
* calculated total energy: -4.7095 eV per atom
* theoretical density: 5.83 Mg/m³
* density of states at the Fermi level: 6.593 states/eV/f.u.


Entry 3:
The following is a PBE calculation of crystalline Ce2AlCu2Pd5 at its relaxed geometry, from Alexandria via LeMat-Bulk.

abc: 9.6477 9.6477 3.7719
angles: 90.00 90.00 90.00
Positions (direct):
Ce1 0.1749 0.3251 0.0000
Ce2 0.3251 0.8251 0.0000
Ce3 0.6749 0.1749 0.0000
Ce4 0.8251 0.6749 0.0000
Al1 0.0000 0.0000 0.0000
Al2 0.5000 0.5000 0.0000
Cu1 0.1242 0.6242 0.0000
Cu2 0.3758 0.1242 0.0000
Cu3 0.6242 0.8758 0.0000
Cu4 0.8758 0.3758 0.0000
Pd1 0.0000 0.5000 0.5000
Pd2 0.0628 0.7993 0.5000
Pd3 0.2007 0.0628 0.5000
Pd4 0.2993 0.5628 0.5000
Pd5 0.4372 0.2993 0.5000
Pd6 0.5000 0.0000 0.5000
Pd7 0.5628 0.7007 0.5000
Pd8 0.7007 0.4372 0.5000
Pd9 0.7993 0.9372 0.5000
Pd10 0.9372 0.2007 0.5000

## Properties
* ΔH_f (0 K): -593.9 meV per atom
* calculated total energy: -5.5706 eV per atom
* theoretical density: 9.14 Mg/m³
* density of states at the Fermi level: 13.927 states/eV/f.u.


Entry 4:
The following is a PBE calculation of crystalline Ce2Al5Cu2Pd at its relaxed geometry, from Alexandria via LeMat-Bulk.

abc: 9.4181 9.4181 4.0840
angles: 90.00 90.00 90.00
Positions (direct):
Ce1 0.1854 0.3146 0.0000
Ce2 0.3146 0.8146 0.0000
Ce3 0.6854 0.1854 0.0000
Ce4 0.8146 0.6854 0.0000
Al1 0.0000 0.5000 0.5000
Al2 0.0522 0.7985 0.5000
Al3 0.2015 0.0522 0.5000
Al4 0.2985 0.5522 0.5000
Al5 0.4478 0.2985 0.5000
Al6 0.5000 0.0000 0.5000
Al7 0.5522 0.7015 0.5000
Al8 0.7015 0.4478 0.5000
Al9 0.7985 0.9478 0.5000
Al10 0.9478 0.2015 0.5000
Cu1 0.1096 0.6096 0.0000
Cu2 0.3904 0.1096 0.0000
Cu3 0.6096 0.8904 0.0000
Cu4 0.8904 0.3904 0.0000
Pd1 0.0000 0.0000 0.0000
Pd2 0.5000 0.5000 0.0000

## Properties
* ΔH_f (0 K): -450.9 meV per atom
* calculated total energy: -4.8475 eV per atom
* theoretical density: 5.95 Mg/m³
* density of states at the Fermi level: 9.527 states/eV/f.u.